Entry 1:
TbCeFe4 PBE-GGA relaxed; crystal system = cubic; E = -7.4616 eV/atom; total moment = 6.78 μB per formula unit; mass density = 8.99 g/cm³; calculated formation energy = -0.059 eV per atom
1.0
0.000 3.640 3.640
3.640 0.000 3.640
3.640 3.640 0.000
Tb Ce Fe
1 1 4
Direct
0.000 0.000 0.000 Tb
0.750 0.750 0.750 Ce
0.375 0.375 0.375 Fe
0.375 0.375 0.874 Fe
0.375 0.874 0.375 Fe
0.874 0.375 0.375 Fe

---

Entry 2:
MnCuReGe2 PBE-GGA relaxed; crystal system = tetragonal; E = -5.7074 eV/atom; total moment = 6.49 μB per formula unit; mass density = 7.83 g/cm³; calculated formation energy = 1.282 eV per atom
1.0
4.454 0.000 0.000
0.000 4.454 0.000
0.000 0.000 4.813
Mn Cu Re Ge
1 1 1 2
Direct
0.000 0.000 0.000 Mn
0.500 0.500 0.500 Cu
0.500 0.500 0.000 Re
0.000 0.500 0.500 Ge
0.500 0.000 0.500 Ge

---

Entry 3:
ErPd5Pt5 PBE-GGA relaxed; crystal system = triclinic; E = -5.6777 eV/atom; total moment = 0.00 μB per formula unit; mass density = 14.71 g/cm³; calculated formation energy = -0.157 eV per atom
1.0
4.608 0.000 0.000
0.419 5.927 0.000
1.694 0.827 6.922
Er Pd Pt
1 5 5
Direct
0.000 0.000 0.000 Er
0.000 0.500 0.000 Pd
0.027 0.817 0.657 Pd
0.491 0.266 0.037 Pd
0.509 0.734 0.963 Pd
0.973 0.183 0.343 Pd
0.049 0.654 0.320 Pt
0.497 0.078 0.674 Pt
0.500 0.500 0.500 Pt
0.503 0.922 0.326 Pt
0.951 0.346 0.680 Pt

---

Entry 4:
Y2TlRuO8 PBE-GGA relaxed; crystal system = orthorhombic; E = -7.1488 eV/atom; formation energy (no corrections) = -1.796 eV per atom; total moment = 1.04 μB per formula unit; mass density = 5.91 g/cm³
1.0
3.404 -3.570 0.000
3.404 3.570 0.000
0.000 0.000 7.062
Y Tl Ru O
2 1 1 8
Direct
0.000 0.000 0.245 Y
0.000 0.000 0.755 Y
0.500 0.500 0.500 Tl
0.500 0.500 0.000 Ru
0.199 0.199 0.500 O
0.218 0.218 0.000 O
0.316 0.684 0.196 O
0.316 0.684 0.804 O
0.684 0.316 0.196 O
0.684 0.316 0.804 O
0.782 0.782 0.000 O
0.801 0.801 0.500 O

---

Entry 5:
Rb2Na6HgPt PBE-GGA relaxed; crystal system = cubic; E = -1.6523 eV/atom; total moment = 0.00 μB per formula unit; mass density = 2.90 g/cm³; calculated formation energy = -0.033 eV per atom
1.0
0.000 5.867 5.867
5.867 0.000 5.867
5.867 5.867 0.000
Rb Na Hg Pt
2 6 1 1
Direct
0.250 0.250 0.250 Rb
0.750 0.750 0.750 Rb
0.240 0.240 0.760 Na
0.240 0.760 0.240 Na
0.240 0.760 0.760 Na
0.760 0.240 0.240 Na
0.760 0.240 0.760 Na
0.760 0.760 0.240 Na
0.500 0.500 0.500 Hg
0.000 0.000 0.000 Pt

---

Entry 6:
AcNd3 PBE-GGA relaxed; crystal system = hexagonal; E = -4.5621 eV/atom; total moment = 0.00 μB per formula unit; mass density = 7.23 g/cm³; calculated formation energy = 0.041 eV per atom
1.0
7.595 0.000 0.000
-3.797 6.577 0.000
0.000 0.000 6.069
Ac Nd
2 6
Direct
0.333 0.667 0.250 Ac
0.667 0.333 0.750 Ac
0.164 0.327 0.750 Nd
0.164 0.836 0.750 Nd
0.327 0.164 0.250 Nd
0.673 0.836 0.750 Nd
0.836 0.164 0.250 Nd
0.836 0.673 0.250 Nd